[1]
Density functional theory data (PBE) for an optimized crystal structure of PmThIn2.

Properties
* formation enthalpy at 0 K: -1.4 eV/f.u.
* density of states at the Fermi level: 4.1 states/eV per cell
* magnetization: 0.00 Bohr magnetons per cell
* DFT total energy: -19.1 eV for the cell shown

Geometry as extended XYZ:
```
4
Lattice="-0.7960 4.4476 0.2281 -4.8499 -0.8161 -1.0129 -0.9547 -0.4228 4.9115" Properties=species:S:1:pos:R:3 pbc="T T T"
In -2.4249 -0.4080 -0.5065
Th -3.3003 1.6044 2.0634
In -0.4773 -0.2114 2.4558
Pm -0.3980 2.2238 0.1141
```

---

[2]
Density functional theory data (PBE) for an optimized crystal structure of DyGe2Pd7Pb2.

Properties
* formation enthalpy at 0 K: -5.6 eV/f.u.
* density of states at the Fermi level: 3.6 states/eV per cell
* magnetization: 0.00 Bohr magnetons per cell
* DFT total energy: -63.2 eV for the cell shown

Geometry as extended XYZ:
```
12
Lattice="-1.7484 -3.6842 -0.2640 3.4499 -1.5787 -1.5186 4.9474 -4.8303 12.3926" Properties=species:S:1:pos:R:3 pbc="T T T"
Pd 0.8508 -2.6315 -0.8913
Dy 0.0000 0.0000 0.0000
Pd 3.2318 -3.8717 0.3142
Pd 2.7391 -3.9900 4.6528
Pd 3.9098 -6.1032 5.9572
Ge 4.7002 -6.7059 8.2206
Pd 3.4171 -6.2215 10.2959
Ge 1.9487 -3.3873 2.3894
Pd 6.0151 -5.1692 9.6688
Pd 0.6338 -4.9240 0.9412
Pb 3.2634 -3.5861 7.5031
Pb 3.3855 -6.5071 3.1069
```

---

[3]
Density functional theory data (PBE) for an optimized crystal structure of LiCaGePb.

Properties
* formation enthalpy at 0 K: -1.2 eV/f.u.
* density of states at the Fermi level: 1.6 states/eV per cell
* magnetization: 0.00 Bohr magnetons per cell
* DFT total energy: -13.4 eV for the cell shown

Geometry as extended XYZ:
```
4
Lattice="-5.1156 0.4714 0.0944 -2.5992 -1.0658 4.3022 -2.1810 3.7952 2.6907" Properties=species:S:1:pos:R:3 pbc="T T T"
Pb -2.4740 0.8002 1.7718
Ca 0.0000 0.0000 0.0000
Ge -7.4219 2.4006 5.3155
Li -4.9479 1.6004 3.5436
```

---

[4]
Density functional theory data (PBE) for an optimized crystal structure of DyHfSn2.

Properties
* formation enthalpy at 0 K: -1.6 eV/f.u.
* density of states at the Fermi level: 3.2 states/eV per cell
* magnetization: 0.06 Bohr magnetons per cell
* DFT total energy: -24.2 eV for the cell shown

Geometry as extended XYZ:
```
4
Lattice="3.3166 0.0000 0.0000 0.0000 3.3166 0.0000 0.0000 0.0000 8.7111" Properties=species:S:1:pos:R:3 pbc="T T T"
Sn 0.0000 0.0000 6.6394
Dy 1.6583 1.6583 4.3556
Sn 0.0000 0.0000 2.0717
Hf 1.6583 1.6583 0.0000
```

---

The highest magnetization belongs to which entry?
DyHfSn2

---

Look up the formation enthalpy at 0 K of the first one.
-1.4 eV/f.u.

---

Which value of magnetization does entry 1 give?
0.00 Bohr magnetons per cell

---

Which value of DFT total energy does entry 3 give?
-13.4 eV for the cell shown